The following is a PBE-GGA calculation of a relaxed La5TmAl2 crystal, from Alexandria via LeMat-Bulk.

Structure (POSCAR):
```
La5TmAl2
1.0
-3.685 3.129 -2.577
-1.326 -5.087 1.542
-6.491 7.132 17.942
La Tm Al
10 2 4
direct
0.667 0.333 0.250 La
0.333 0.667 0.554 La
0.000 0.000 0.346 La
0.333 0.667 0.750 La
0.667 0.333 0.446 La
0.000 0.000 0.154 La
0.333 0.667 0.946 La
0.667 0.333 0.054 La
0.000 0.000 0.654 La
0.000 0.000 0.846 La
0.667 0.333 0.750 Tm
0.333 0.667 0.250 Tm
0.667 0.333 0.897 Al
0.333 0.667 0.397 Al
0.333 0.667 0.103 Al
0.667 0.333 0.603 Al
```

* size of the total moment: 0.0000 μB/atom
* crystal system: hexagonal
* V: 529 Å³ per cell
* calculated formation energy: -0.069 eV/atom